# HfGa2I6 (GGA-PBE, relaxed)
data_HfGa2I6
_cell_length_a 7.688
_cell_length_b 8.472
_cell_length_c 11.381
_cell_angle_alpha 90.00
_cell_angle_beta 93.86
_cell_angle_gamma 90.00
_symmetry_space_group_name_H-M 'P 1'
_symmetry_Int_Tables_number 1
loop_
_symmetry_equiv_pos_as_xyz
'x,y,z'
loop_
_atom_site_label
_atom_site_type_symbol
_atom_site_fract_x
_atom_site_fract_y
_atom_site_fract_z
Hf1 Hf 0.500 0.500 0.000
Hf2 Hf 0.000 0.000 0.500
Ga1 Ga 0.979 0.382 0.811
Ga2 Ga 0.521 0.882 0.689
Ga3 Ga 0.479 0.118 0.311
Ga4 Ga 0.021 0.618 0.189
I1 I 0.859 0.960 0.263
I2 I 0.837 0.715 0.567
I3 I 0.804 0.678 0.947
I4 I 0.696 0.178 0.553
I5 I 0.663 0.215 0.933
I6 I 0.641 0.460 0.237
I7 I 0.141 0.040 0.737
I8 I 0.163 0.285 0.433
I9 I 0.196 0.322 0.053
I10 I 0.304 0.822 0.447
I11 I 0.337 0.785 0.067
I12 I 0.359 0.540 0.763
# Symmetry: No. 14
# Formation energy without anion corrections in eV/atom: -0.6629


# HfGa2I (GGA-PBE, relaxed)
data_HfGa2I
_cell_length_a 6.642
_cell_length_b 6.642
_cell_length_c 7.906
_cell_angle_alpha 65.16
_cell_angle_beta 65.16
_cell_angle_gamma 90.00
_symmetry_space_group_name_H-M 'P 1'
_symmetry_Int_Tables_number 1
loop_
_symmetry_equiv_pos_as_xyz
'x,y,z'
loop_
_atom_site_label
_atom_site_type_symbol
_atom_site_fract_x
_atom_site_fract_y
_atom_site_fract_z
I1 I 0.500 0.500 0.000
I2 I 0.250 0.750 0.500
Hf1 Hf 0.000 0.000 0.000
Hf2 Hf 0.750 0.250 0.500
Ga1 Ga 0.652 0.125 0.250
Ga2 Ga 0.098 0.625 0.250
Ga3 Ga 0.375 0.348 0.750
Ga4 Ga 0.875 0.902 0.750
# Symmetry: No. 122
# Polymorph energy (0 for the lowest one) in meV/atom: 212
# Formation energy without anion corrections in eV/atom: 0.7245


- Which of these has the lowest formation energy without anion corrections?
  HfGa2I6


Please write out number 1 again, unchanged.
# HfGa2I6 (GGA-PBE, relaxed)
data_HfGa2I6
_cell_length_a 7.688
_cell_length_b 8.472
_cell_length_c 11.381
_cell_angle_alpha 90.00
_cell_angle_beta 93.86
_cell_angle_gamma 90.00
_symmetry_space_group_name_H-M 'P 1'
_symmetry_Int_Tables_number 1
loop_
_symmetry_equiv_pos_as_xyz
'x,y,z'
loop_
_atom_site_label
_atom_site_type_symbol
_atom_site_fract_x
_atom_site_fract_y
_atom_site_fract_z
Hf1 Hf 0.500 0.500 0.000
Hf2 Hf 0.000 0.000 0.500
Ga1 Ga 0.979 0.382 0.811
Ga2 Ga 0.521 0.882 0.689
Ga3 Ga 0.479 0.118 0.311
Ga4 Ga 0.021 0.618 0.189
I1 I 0.859 0.960 0.263
I2 I 0.837 0.715 0.567
I3 I 0.804 0.678 0.947
I4 I 0.696 0.178 0.553
I5 I 0.663 0.215 0.933
I6 I 0.641 0.460 0.237
I7 I 0.141 0.040 0.737
I8 I 0.163 0.285 0.433
I9 I 0.196 0.322 0.053
I10 I 0.304 0.822 0.447
I11 I 0.337 0.785 0.067
I12 I 0.359 0.540 0.763
# Symmetry: No. 14
# Formation energy without anion corrections in eV/atom: -0.6629